(1)
VASP calculation (GGA-PBE) on an optimized crystal structure of NaLiPmCd.

* ΔE_f: 0.003 eV/atom
* total DFT energy (no corrections): -0.16331 Ry per atom
* density: 4.54 Mg/m³
* N(E_F): 1.09 states/eV/atom

Unit cell a=5.2970 b=5.2970 c=5.2970 alpha=60.00 beta=60.00 gamma=60.00
Fractional coordinates of all 4 atoms:
Na 0.0000 0.0000 0.0000
Li 0.2500 0.2500 0.2500
Pm 0.5000 0.5000 0.5000
Cd 0.7500 0.7500 0.7500



(2)
VASP calculation (GGA-PBE) on an optimized crystal structure of MnIn2Se3.

* total DFT energy (no corrections): -0.33301 Ry per atom
* energy relative to the elements, uncorrected: -348 meV/atom
* density: 4.72 Mg/m³
* N(E_F): 0.37 states/eV/atom

Unit cell a=7.8888 b=7.8888 c=7.8888 alpha=148.33 beta=56.78 gamma=134.17
Fractional coordinates of all 6 atoms:
Mn 0.0000 0.0000 0.0000
In 0.3256 0.9895 0.3361
In 0.6533 0.9895 0.6639
Se 0.2207 0.7207 0.5000
Se 0.6306 0.7794 0.8512
Se 0.9283 0.7794 0.1488



(3)
VASP calculation (GGA-PBE) on an optimized crystal structure of CrHgP2Cl.

* total DFT energy (no corrections): -0.24912 Ry per atom
* energy relative to the elements, uncorrected: 1129 meV/atom
* energy above the lowest structure with this stoichiometry: 909 meV per atom
* density: 4.34 Mg/m³
* N(E_F): 0.66 states/eV/atom

Unit cell a=4.9347 b=4.9347 c=5.5006 alpha=90.00 beta=90.00 gamma=90.00
Fractional coordinates of all 5 atoms:
Cr 0.0000 0.0000 0.0000
Hg 0.5000 0.5000 0.5000
P 0.0000 0.5000 0.5000
P 0.5000 0.0000 0.5000
Cl 0.5000 0.5000 0.0000



(4)
VASP calculation (GGA-PBE) on an optimized crystal structure of TaTiIr2.

* ΔE_f: -0.687 eV/atom
* total DFT energy (no corrections): -0.73895 Ry per atom
* density: 16.25 Mg/m³
* N(E_F): 0.97 states/eV/atom

Unit cell a=4.1106 b=4.1106 c=3.7094 alpha=90.00 beta=90.00 gamma=90.00
Fractional coordinates of all 4 atoms:
Ta 0.0000 0.0000 0.0000
Ti 0.5000 0.5000 0.0000
Ir 0.0000 0.5000 0.5000
Ir 0.5000 0.0000 0.5000



(5)
VASP calculation (GGA-PBE) on an optimized crystal structure of ErGa4Ni.

* ΔE_f: -0.134 eV/atom
* total DFT energy (no corrections): -0.28491 Ry per atom
* density: 6.71 Mg/m³
* N(E_F): 0.64 states/eV/atom

Unit cell a=6.9555 b=6.9555 c=5.1669 alpha=90.00 beta=90.00 gamma=90.00
Fractional coordinates of all 12 atoms:
Er 0.2500 0.7500 0.2500
Er 0.7500 0.2500 0.7500
Ga 0.0772 0.2500 0.1996
Ga 0.2500 0.0772 0.6996
Ga 0.2500 0.4228 0.6996
Ga 0.4228 0.2500 0.1996
Ga 0.5772 0.7500 0.8004
Ga 0.7500 0.5772 0.3004
Ga 0.7500 0.9228 0.3004
Ga 0.9228 0.7500 0.8004
Ni 0.2500 0.7500 0.7500
Ni 0.7500 0.2500 0.2500



(6)
VASP calculation (GGA-PBE) on an optimized crystal structure of HfSc7.

* ΔE_f: 0.061 eV/atom
* total DFT energy (no corrections): -0.49414 Ry per atom
* density: 4.28 Mg/m³
* N(E_F): 1.83 states/eV/atom

Unit cell a=6.4690 b=6.4690 c=6.4690 alpha=60.00 beta=60.00 gamma=60.00
Fractional coordinates of all 8 atoms:
Hf 0.0000 0.0000 0.0000
Sc 0.0000 0.0000 0.5000
Sc 0.0000 0.5000 0.0000
Sc 0.0000 0.5000 0.5000
Sc 0.5000 0.0000 0.0000
Sc 0.5000 0.0000 0.5000
Sc 0.5000 0.5000 0.0000
Sc 0.5000 0.5000 0.5000